First-principles (PBE) data for Ta3AgBr after structural relaxation, as listed in Alexandria.

## Properties
* total magnetic moment: 0.0 μB/cell
* E above lowest polymorph: 0.00 eV per formula unit
* VASP energy: -6.447 eV per atom

abc: 4.722 4.722 4.722
angles: 90.00 90.00 90.00
Space group Pm-3m (No. 221)
Asymmetric unit:
Ta (0.000, 0.000, 0.500) (multiplicity 3)
Ag (0.500, 0.500, 0.500) (multiplicity 1)
Br (0.000, 0.000, 0.000) (multiplicity 1)